# 1
A relaxed structure of Hf3Mg3NbN8, computed with PBE.

Properties
Raw formation energy ... -1178.2 meV per atom

Cell lengths 6.3778, 6.3778, 15.3333 Å; angles 90.00, 90.00, 120.00 degrees
With the nearest neighbours (Å) after each atom.
Space group R-3m (No. 166, hexagonal axes)
One atom of each set of equivalent atoms:
Hf 0.0000 0.5000 0.0000 x9  6 N 2.20-2.21
Mg 0.0000 0.5000 0.5000 x9  6 N 2.28-2.29
Nb 0.0000 0.0000 0.0000 x3  6 N 2.11
N 0.0000 0.0000 0.2539 x6  3 Hf 2.21, 3 Mg 2.28
N 0.0127 0.5064 0.7416 x18  1 Nb 2.11, 2 Hf 2.20, 2 Mg 2.29



# 2
A relaxed structure of HfMg2NpN4, computed with PBE.

Properties
Raw formation energy ... -1181.4 meV per atom

Cell lengths 5.5389, 3.2769, 5.6939 Å; angles 90.00, 109.75, 90.00 degrees
With the nearest neighbours (Å) after each atom.
Space group P2/m (No. 10)
One atom of each set of equivalent atoms:
Hf 0.0000 0.0000 0.0000 x1  6 N 2.23-2.25
Mg 0.5000 0.0000 0.5000 x1  6 N 2.35-2.36
Mg 0.5000 0.5000 0.0000 x1  6 N 2.30-2.32
Np 0.0000 0.5000 0.5000 x1  6 N 2.28-2.31
N 0.2369 0.5000 0.2419 x2  2 Hf 2.25, 1 Np 2.28, 3 Mg 2.32-2.35
N 0.2436 0.0000 0.7575 x2  1 Hf 2.23, 3 Mg 2.30-2.36, 2 Np 2.31